Here is a relaxed NiH4SeO5 crystal from Alexandria via LeMat-Bulk. Energies are from PBE+U.

Energy in eV/atom: -5.039

```
data_NiH4SeO5
_space_group_name_H-M_alt 'P 1 21/c 1'
_space_group_IT_number 14
_space_group_name_Hall '-P 2ybc'
_cell_length_a 6.491
_cell_length_b 8.795
_cell_length_c 9.183
_cell_angle_alpha 90.00
_cell_angle_beta 124.70
_cell_angle_gamma 90.00
loop_
_atom_site_label
_atom_site_type_symbol
_atom_site_fract_x
_atom_site_fract_y
_atom_site_fract_z
_atom_site_occupancy
Ni1 Ni 0.169 0.139 0.019 1
H1 H 0.075 0.133 0.642 1
H2 H 0.303 0.075 0.631 1
H3 H 0.304 0.518 0.794 1
H4 H 0.431 0.146 0.373 1
Se1 Se 0.238 0.655 0.337 1
O1 O 0.090 0.669 0.765 1
O2 O 0.137 0.592 0.467 1
O3 O 0.154 0.141 0.576 1
O4 O 0.409 0.062 0.290 1
O5 O 0.458 0.205 0.999 1
```